1.
A plane-wave DFT calculation with GGA-PBE was carried out for a geometry-optimized PuZn2Bi structure.

Computed properties:
**Energy**: -21.3 eV/cell
**Magnetization**: 1.38 μB/atom
**Space-group type**: P4/mmm, No. 123
**Theoretical density**: 10.58 g cm⁻³
**Crystal system**: tetragonal

Cell: 4.455 4.455 4.619 Å, 90.00 90.00 90.00°
Atoms (fractional coordinates):
Pu (0.000, 0.000, 0.000)
Zn (0.000, 0.500, 0.500)
Zn (0.500, 0.000, 0.500)
Bi (0.500, 0.500, 0.000)

2.
A plane-wave DFT calculation with GGA-PBE was carried out for a geometry-optimized Ho2HfTl structure.

Computed properties:
**Energy**: -21.9 eV/cell
**Magnetization**: 0.00 μB/atom
**Space-group type**: P4/mmm, No. 123
**Theoretical density**: 11.10 g cm⁻³
**Crystal system**: tetragonal

Cell: 3.416 3.416 9.143 Å, 90.00 90.00 90.00°
Atoms (fractional coordinates):
Ho (0.000, 0.000, 0.248)
Ho (0.000, 0.000, 0.752)
Hf (0.500, 0.500, 0.000)
Tl (0.500, 0.500, 0.500)

3.
A plane-wave DFT calculation with GGA-PBE was carried out for a geometry-optimized Hg2SbP structure.

Computed properties:
**Magnetization**: 0.00 μB/atom
**Space-group type**: P4/mmm, No. 123
**Formation energy (no corrections)**: 230 meV/atom
**Theoretical density**: 9.36 g cm⁻³
**Crystal system**: tetragonal

Cell: 4.137 4.137 5.742 Å, 90.00 90.00 90.00°
Atoms (fractional coordinates):
Hg (0.000, 0.000, 0.000)
Hg (0.500, 0.500, 0.000)
Sb (0.000, 0.000, 0.500)
P (0.500, 0.500, 0.500)

4.
A plane-wave DFT calculation with GGA-PBE was carried out for a geometry-optimized Na4Ac3HoTe8 structure.

Computed properties:
**Magnetization**: 0.00 μB/atom
**Space-group type**: R-3m, No. 166
**Formation energy (no corrections)**: -1362 meV/atom
**Theoretical density**: 5.63 g cm⁻³
**Crystal system**: trigonal

Cell: 9.305 9.305 9.305 Å, 60.59 60.59 60.59°
Atoms (fractional coordinates):
Na (0.000, 0.000, 0.000)
Na (0.000, 0.500, 0.500)
Na (0.500, 0.000, 0.500)
Na (0.500, 0.500, 0.000)
Ac (0.000, 0.000, 0.500)
Ac (0.000, 0.500, 0.000)
Ac (0.500, 0.000, 0.000)
Ho (0.500, 0.500, 0.500)
Te (0.251, 0.251, 0.251)
Te (0.262, 0.262, 0.735)
Te (0.262, 0.735, 0.262)
Te (0.265, 0.738, 0.738)
Te (0.735, 0.262, 0.262)
Te (0.738, 0.265, 0.738)
Te (0.738, 0.738, 0.265)
Te (0.749, 0.749, 0.749)